Entry 1:
Crystalline CaCrB2 at its relaxed geometry. Source: Alexandria, functional PBEsol.

The structure in extended XYZ format:
```
8
Lattice="-2.093 2.093 6.892 2.093 -2.093 6.892 2.093 2.093 -6.892" Properties=species:S:1:pos:R:3 pbc="T T T"
Ca 2.093 1.046 1.723
Ca 0.000 1.046 5.169
Cr 2.093 -1.046 5.169
Cr 0.000 3.139 1.723
B 0.000 0.000 0.000
B 1.046 1.046 -3.446
B 1.046 -1.046 3.446
B 0.000 2.093 0.000
```

ρ = 3.13 g/cm³
DOS(E_F) = 3.32 states/eV/f.u.
total DFT energy (no corrections) = -6.0456 eV per atom
DFT formation energy = 2.23 eV per formula unit
space group = I4_1/amd, No. 141

Entry 2:
Crystalline Ca2CrBPb at its relaxed geometry. Source: Alexandria, functional PBEsol.

The structure in extended XYZ format:
```
5
Lattice="5.236 0.000 0.000 0.000 5.236 0.000 0.000 0.000 4.055" Properties=species:S:1:pos:R:3 pbc="T T T"
Ca 0.000 2.618 0.000
Ca 2.618 0.000 0.000
Cr 0.000 0.000 2.028
B 0.000 0.000 0.000
Pb 2.618 2.618 2.028
```

ρ = 5.23 g/cm³
DOS(E_F) = 2.56 states/eV/f.u.
total DFT energy (no corrections) = -5.0085 eV per atom
DFT formation energy = 0.48 eV per formula unit
space group = P4/mmm, No. 123

Entry 3:
Crystalline Ca2CrTcB at its relaxed geometry. Source: Alexandria, functional PBEsol.

The structure in extended XYZ format:
```
5
Lattice="5.394 0.000 0.000 0.000 5.394 0.000 0.000 0.000 4.274" Properties=species:S:1:pos:R:3 pbc="T T T"
Ca 0.000 2.697 0.000
Ca 2.697 0.000 0.000
Cr 0.000 0.000 2.137
Tc 0.000 0.000 0.000
B 2.697 2.697 2.137
```

ρ = 3.22 g/cm³
DOS(E_F) = 6.81 states/eV/f.u.
total DFT energy (no corrections) = -5.0193 eV per atom
DFT formation energy = 7.69 eV per formula unit
space group = P4/mmm, No. 123

Entry 4:
Crystalline Ca2CrBTe at its relaxed geometry. Source: Alexandria, functional PBEsol.

The structure in extended XYZ format:
```
5
Lattice="5.172 0.000 0.000 0.000 5.172 0.000 0.000 0.000 4.601" Properties=species:S:1:pos:R:3 pbc="T T T"
Ca 0.000 2.586 0.000
Ca 2.586 0.000 0.000
Cr 0.000 0.000 2.300
B 2.586 2.586 0.000
Te 2.586 2.586 2.300
```

ρ = 3.65 g/cm³
DOS(E_F) = 3.74 states/eV/f.u.
total DFT energy (no corrections) = -4.4758 eV per atom
space group = P4/mmm, No. 123

Entry 5:
Crystalline Cs3CaB at its relaxed geometry. Source: Alexandria, functional PBEsol.

The structure in extended XYZ format:
```
5
Lattice="6.673 0.000 0.000 0.000 6.673 0.000 0.000 0.000 6.673" Properties=species:S:1:pos:R:3 pbc="T T T"
Cs 0.000 0.000 3.337
Cs 0.000 3.337 0.000
Cs 3.337 0.000 0.000
Ca 3.337 3.337 3.337
B 0.000 0.000 0.000
```

ρ = 2.51 g/cm³
DOS(E_F) = 4.45 states/eV/f.u.
total DFT energy (no corrections) = -1.4670 eV per atom
DFT formation energy = 4.64 eV per formula unit
space group = Pm-3m, No. 221

Entry 6:
Crystalline Ca3Er3Ge2BO13 at its relaxed geometry. Source: Alexandria, functional PBEsol.

The structure in extended XYZ format:
```
22
Lattice="5.138 -5.185 0.000 5.138 5.185 0.000 -5.133 0.000 5.190" Properties=species:S:1:pos:R:3 pbc="T T T"
Ca 0.000 0.000 0.000
Ca 0.005 -2.388 2.393
Ca 5.138 -2.388 2.797
Er 2.820 2.808 0.001
Er 2.324 2.808 5.189
Er 5.138 0.442 0.000
Ge 2.572 0.145 2.595
Ge 2.572 -5.022 2.595
B 5.138 -2.358 0.000
O 3.557 4.314 1.541
O -1.562 1.197 3.665
O 1.587 4.314 3.649
O 5.138 2.700 0.000
O 3.553 1.167 1.533
O 1.614 -0.874 1.540
O 1.591 1.167 3.656
O -0.871 -1.473 4.369
O 6.706 1.197 1.525
O 3.530 -0.874 3.650
O 4.244 -3.186 0.822
O 6.015 -1.473 0.821
O 0.900 -3.186 4.368
```

ρ = 5.92 g/cm³
DOS(E_F) = 0.00 states/eV/f.u.
total DFT energy (no corrections) = -7.7972 eV per atom
space group = C2, No. 5
energy above the lowest structure with this stoichiometry = 0.3 kJ/mol of atoms

Entry 7:
Crystalline Ca3Er3Ge2BO13 at its relaxed geometry. Source: Alexandria, functional PBEsol.

The structure in extended XYZ format:
```
44
Lattice="7.309 0.000 0.000 0.000 7.316 0.000 0.000 0.000 10.359" Properties=species:S:1:pos:R:3 pbc="T T T"
Ca 0.000 0.000 0.000
Ca 1.672 1.681 7.987
Ca 1.983 5.339 2.807
Ca 3.655 3.658 5.179
Ca 5.326 1.977 2.807
Ca 5.637 5.634 7.987
Er 0.000 0.000 5.629
Er 1.664 5.654 7.983
Er 1.991 1.996 2.803
Er 3.655 3.658 0.450
Er 5.318 5.319 2.803
Er 5.646 1.661 7.983
Ge 0.000 3.658 0.150
Ge 0.000 3.658 5.348
Ge 3.655 0.000 0.169
Ge 3.655 0.000 5.330
B 0.000 0.000 2.828
B 3.655 3.658 8.008
O 0.000 0.000 7.882
O 0.041 1.201 3.713
O 0.062 5.124 6.381
O 0.107 5.081 9.496
O 1.215 0.048 2.001
O 1.441 3.595 4.314
O 1.445 3.556 1.165
O 2.210 7.213 6.345
O 2.213 7.253 9.494
O 2.440 3.706 7.180
O 3.547 1.423 4.317
O 3.592 1.467 1.201
O 3.614 4.859 8.892
O 3.655 3.658 2.702
O 3.695 2.457 8.892
O 3.717 5.849 1.201
O 3.762 5.892 4.317
O 4.869 3.610 7.180
O 5.096 0.063 9.494
O 5.099 0.102 6.345
O 5.864 3.760 1.165
O 5.868 3.721 4.314
O 6.094 7.268 2.001
O 7.202 2.235 9.496
O 7.247 2.191 6.381
O 7.268 6.114 3.713
```

ρ = 5.91 g/cm³
DOS(E_F) = 0.00 states/eV/f.u.
total DFT energy (no corrections) = -7.8005 eV per atom
space group = Pnn2, No. 34
energy above the lowest structure with this stoichiometry = 0.0 kJ/mol of atoms

Entry 8:
Crystalline Ca2BF2 at its relaxed geometry. Source: Alexandria, functional PBEsol.

The structure in extended XYZ format:
```
5
Lattice="-2.324 2.324 3.626 2.324 -2.324 3.626 2.324 2.324 -3.626" Properties=species:S:1:pos:R:3 pbc="T T T"
Ca 2.324 0.000 1.813
Ca 0.000 2.324 1.813
B 0.000 0.000 0.000
F 0.000 0.000 2.183
F 0.000 0.000 5.069
```

ρ = 2.73 g/cm³
DOS(E_F) = 2.71 states/eV/f.u.
total DFT energy (no corrections) = -4.6049 eV per atom
space group = I4/mmm, No. 139